A relaxed FeCuAsIr crystal. Source: OQMD via LeMat-Bulk, functional PBE-GGA.

Cell: 4.2227 4.2227 4.2227 Å, 60.00 60.00 60.00°
Closest atoms and distances in Å follow each position.
Positions (direct):
As (0.0000, 0.0000, 0.0000)  4 Ir 2.59, 4 Fe 2.59
Cu (0.5000, 0.5000, 0.5000)  4 Ir 2.59, 4 Fe 2.59
Fe (0.7500, 0.7500, 0.7500)  4 As 2.59, 4 Cu 2.59
Ir (0.2500, 0.2500, 0.2500)  4 Cu 2.59, 4 As 2.59

Results
Energy above the lowest structure with this stoichiometry (meV/atom): 0
Space group: F-43m
Total magnetic moment (μB per formula unit): 2.2
Calculated volume (A^3/atom): 13.3
VASP energy (eV per cell): -25.028

---

A relaxed SrGa2Ni crystal. Source: OQMD via LeMat-Bulk, functional PBE-GGA.

Cell: 6.0983 6.0983 6.0983 Å, 40.09 40.09 40.09°
Closest atoms and distances in Å follow each position.
Positions (direct):
Ga (0.2013, 0.2013, 0.2013)  3 Ni 2.48, 3 Ga 2.68
Ga (0.7987, 0.7987, 0.7987)  3 Ni 2.48, 3 Ga 2.68
Ni (0.5000, 0.5000, 0.5000)  6 Ga 2.48
Sr (0.0000, 0.0000, 0.0000)  8 Ga 3.28-3.38

Results
Space group: R-3m
Total magnetic moment (μB per formula unit): 0.1
Calculated volume (A^3/atom): 21.2
VASP energy (eV per cell): -14.978

---

A relaxed NdAgTe3Pb crystal. Source: OQMD via LeMat-Bulk, functional PBE-GGA.

Cell: 8.4843 4.4141 10.7673 Å, 90.00 105.68 90.00°
Closest atoms and distances in Å follow each position.
Positions (direct):
Ag (0.0832, 0.2500, 0.0883)  4 Te 2.83-3.01, 2 Ag 3.00
Ag (0.9168, 0.7500, 0.9117)  4 Te 2.83-3.01, 2 Ag 3.00
Nd (0.3006, 0.7500, 0.3317)  6 Te 3.15-3.20
Nd (0.6994, 0.2500, 0.6683)  6 Te 3.15-3.20
Pb (0.7438, 0.7500, 0.2014)  6 Te 3.33-3.36
Pb (0.2562, 0.2500, 0.7986)  6 Te 3.33-3.36
Te (0.2805, 0.7500, 0.0343)  3 Ag 2.92-3.01, 1 Nd 3.16
Te (0.0385, 0.2500, 0.3389)  1 Ag 2.83, 2 Nd 3.15
Te (0.5782, 0.2500, 0.3601)  3 Nd 3.18-3.20, 2 Pb 3.33
Te (0.4218, 0.7500, 0.6399)  3 Nd 3.18-3.20, 2 Pb 3.33
Te (0.9615, 0.7500, 0.6611)  1 Ag 2.83, 2 Nd 3.15
Te (0.7195, 0.2500, 0.9657)  3 Ag 2.92-3.01, 1 Nd 3.16

Results
Energy above the lowest structure with this stoichiometry (meV/atom): 7
Space group: P2_1/m
Total magnetic moment (μB per formula unit): 0.0
Calculated volume (A^3/atom): 32.4
VASP energy (eV per cell): -50.260

---

What is the calculated volume in the third record? 32.4 A^3/atom

---

The highest total magnetic moment belongs to which entry? FeCuAsIr

---

Which value of calculated volume does entry 2 give? 21.2 A^3/atom

---

Among the records above, which one has the highest calculated volume? NdAgTe3Pb